# 1
# GaPtO2F (PBE, relaxed)
# Uncorrected formation energy   -572 meV/atom
# E   -4.743 eV/atom
# M_tot   0.02 μB per atom
# Calculated density   9.1 g cm⁻³
data_GaPtO2F
_cell_length_a 3.9315
_cell_length_b 3.9315
_cell_length_c 3.7137
_cell_angle_alpha 90.00
_cell_angle_beta 90.00
_cell_angle_gamma 90.00
_symmetry_space_group_name_H-M 'P 4/m m m'
_symmetry_Int_Tables_number 123
_symmetry_space_group_name_Hall '-P 4 2'
loop_
_atom_site_label
_atom_site_type_symbol
_atom_site_fract_x
_atom_site_fract_y
_atom_site_fract_z
Ga1 Ga 0.0000 0.0000 0.0000
Pt1 Pt 0.5000 0.5000 0.5000
O1 O 0.0000 0.5000 0.0000
F1 F 0.0000 0.0000 0.5000



# 2
# Ca2ZrMn (PBE, relaxed)
# DFT formation energy   0.567 eV/atom
# E   -4.864 eV/atom
# M_tot   0.75 μB per atom
# Calculated density   3.5 g cm⁻³
# Energy relative to the lowest polymorph listed for this composition   1.47 eV per formula unit
data_Ca2ZrMn
_cell_length_a 6.5034
_cell_length_b 10.0334
_cell_length_c 3.3280
_cell_angle_alpha 90.00
_cell_angle_beta 90.16
_cell_angle_gamma 90.00
_symmetry_space_group_name_H-M 'C 1 2/m 1'
_symmetry_Int_Tables_number 12
loop_
_symmetry_equiv_pos_as_xyz
'x,y,z'
'-x,-y,-z'
'-x,y,-z'
'x,-y,z'
'x+1/2,y+1/2,z'
'-x+1/2,-y+1/2,-z'
'-x+1/2,y+1/2,-z'
'x+1/2,-y+1/2,z'
loop_
_atom_site_label
_atom_site_type_symbol
_atom_site_fract_x
_atom_site_fract_y
_atom_site_fract_z
Ca1 Ca 0.2500 0.2500 0.0000
Zr1 Zr 0.0000 0.0000 0.5000
Mn1 Mn 0.0000 0.5000 0.5000



# 3
# Pm2NiRh2 (PBE, relaxed)
# DFT formation energy   -0.578 eV/atom
# E   -6.575 eV/atom
# M_tot   0.00 μB per atom
# Calculated density   9.1 g cm⁻³
data_Pm2NiRh2
_cell_length_a 4.2628
_cell_length_b 5.6675
_cell_length_c 8.4025
_cell_angle_alpha 90.00
_cell_angle_beta 90.00
_cell_angle_gamma 90.00
_symmetry_space_group_name_H-M 'I m m m'
_symmetry_Int_Tables_number 71
_symmetry_space_group_name_Hall '-I 2 2'
loop_
_atom_site_label
_atom_site_type_symbol
_atom_site_fract_x
_atom_site_fract_y
_atom_site_fract_z
Pm1 Pm 0.0000 0.0000 0.1994
Ni1 Ni 0.0000 0.5000 0.0000
Rh1 Rh 0.0000 0.2494 0.5000



# 4
# MoSe (PBE, relaxed)
# Uncorrected formation energy   -195 meV/atom
# E   -7.353 eV/atom
# M_tot   0.00 μB per atom
# Calculated density   7.1 g cm⁻³
# Energy relative to the lowest polymorph listed for this composition   0.17 eV per formula unit
data_MoSe
_cell_length_a 3.1097
_cell_length_b 3.1097
_cell_length_c 29.1736
_cell_angle_alpha 90.00
_cell_angle_beta 90.00
_cell_angle_gamma 120.00
_symmetry_space_group_name_H-M 'R -3 m'
_symmetry_Int_Tables_number 166
_symmetry_space_group_name_Hall '-R 3 2"'
loop_
_atom_site_label
_atom_site_type_symbol
_atom_site_fract_x
_atom_site_fract_y
_atom_site_fract_z
Mo1 Mo 0.0000 0.0000 0.1270
Se1 Se 0.0000 0.0000 0.4001



# 5
# BaMg3C4O12 (PBE, relaxed)
# Uncorrected formation energy   -2055 meV/atom
# E   -7.210 eV/atom
# M_tot   0.00 μB per atom
# Calculated density   3.3 g cm⁻³
data_BaMg3C4O12
_cell_length_a 9.7426
_cell_length_b 9.7426
_cell_length_c 8.2811
_cell_angle_alpha 90.00
_cell_angle_beta 90.00
_cell_angle_gamma 120.00
_symmetry_space_group_name_H-M 'R 3 2'
_symmetry_Int_Tables_number 155
_symmetry_space_group_name_Hall 'R 3 2"'
loop_
_atom_site_label
_atom_site_type_symbol
_atom_site_fract_x
_atom_site_fract_y
_atom_site_fract_z
Ba1 Ba 0.0000 0.0000 0.0000
Mg1 Mg 0.0000 0.5474 0.0000
C1 C 0.0000 0.0000 0.5000
C2 C 0.0000 0.4507 0.5000
O1 O 0.0000 0.5865 0.5000
O2 O 0.0000 0.8660 0.5000
O3 O 0.0107 0.2151 0.2008



# 6
# Eu5As4 (PBE, relaxed)
# DFT formation energy   -1.193 eV/atom
# E   -8.967 eV/atom
# M_tot   3.89 μB per atom
# Calculated density   7.1 g cm⁻³
data_Eu5As4
_cell_length_a 15.4123
_cell_length_b 7.9826
_cell_length_c 8.0213
_cell_angle_alpha 90.00
_cell_angle_beta 90.00
_cell_angle_gamma 90.00
_symmetry_space_group_name_H-M 'C m c e'
_symmetry_Int_Tables_number 64
_symmetry_space_group_name_Hall '-C 2ac 2'
loop_
_atom_site_label
_atom_site_type_symbol
_atom_site_fract_x
_atom_site_fract_y
_atom_site_fract_z
Eu1 Eu 0.0000 0.0000 0.0000
Eu2 Eu 0.1419 0.1701 0.3342
As1 As 0.0000 0.1223 0.6230
As2 As 0.2006 0.0000 0.0000



# 7
# PmEuCdSi (PBE, relaxed)
# Uncorrected formation energy   -362 meV/atom
# E   -5.703 eV/atom
# M_tot   1.87 μB per atom
# Calculated density   7.0 g cm⁻³
data_PmEuCdSi
_cell_length_a 7.4729
_cell_length_b 7.4729
_cell_length_c 7.4729
_cell_angle_alpha 90.00
_cell_angle_beta 90.00
_cell_angle_gamma 90.00
_symmetry_space_group_name_H-M 'F -4 3 m'
_symmetry_Int_Tables_number 216
_symmetry_space_group_name_Hall 'F -4 2 3'
loop_
_atom_site_label
_atom_site_type_symbol
_atom_site_fract_x
_atom_site_fract_y
_atom_site_fract_z
Pm1 Pm 0.0000 0.0000 0.0000
Eu1 Eu 0.0000 0.0000 0.5000
Cd1 Cd 0.2500 0.2500 0.2500
Si1 Si 0.2500 0.2500 0.7500



# 8
# Sc2PbS (PBE, relaxed)
# Uncorrected formation energy   -574 meV/atom
# E   -5.699 eV/atom
# M_tot   0.00 μB per atom
# Calculated density   6.3 g cm⁻³
# Energy relative to the lowest polymorph listed for this composition   2.32 eV per formula unit
data_Sc2PbS
_cell_length_a 7.0164
_cell_length_b 7.0164
_cell_length_c 7.0164
_cell_angle_alpha 90.00
_cell_angle_beta 90.00
_cell_angle_gamma 90.00
_symmetry_space_group_name_H-M 'F m -3 m'
_symmetry_Int_Tables_number 225
_symmetry_space_group_name_Hall '-F 4 2 3'
loop_
_atom_site_label
_atom_site_type_symbol
_atom_site_fract_x
_atom_site_fract_y
_atom_site_fract_z
Sc1 Sc 0.2500 0.2500 0.2500
Pb1 Pb 0.0000 0.0000 0.0000
S1 S 0.0000 0.0000 0.5000



# 9
# ErPbBr5 (PBE, relaxed)
# Uncorrected formation energy   -1398 meV/atom
# E   -3.775 eV/atom
# M_tot   0.00 μB per atom
# Calculated density   4.6 g cm⁻³
data_ErPbBr5
_cell_length_a 10.7811
_cell_length_b 10.6251
_cell_length_c 10.9381
_cell_angle_alpha 90.00
_cell_angle_beta 116.61
_cell_angle_gamma 90.00
_symmetry_space_group_name_H-M 'C 1 2/c 1'
_symmetry_Int_Tables_number 15
loop_
_symmetry_equiv_pos_as_xyz
'x,y,z'
'-x,-y,-z'
'-x,y,-z+1/2'
'x,-y,z+1/2'
'x+1/2,y+1/2,z'
'-x+1/2,-y+1/2,-z'
'-x+1/2,y+1/2,-z+1/2'
'x+1/2,-y+1/2,z+1/2'
loop_
_atom_site_label
_atom_site_type_symbol
_atom_site_fract_x
_atom_site_fract_y
_atom_site_fract_z
Er1 Er 0.2500 0.2500 0.0000
Pb1 Pb 0.0000 0.0800 0.2500
Br1 Br 0.0000 0.2340 0.7500
Br2 Br 0.0982 0.2887 0.1443
Br3 Br 0.2332 0.0067 0.5248



# 10
# YCo3Ge (PBE, relaxed)
# DFT formation energy   1.689 eV/atom
# E   -4.790 eV/atom
# M_tot   0.49 μB per atom
# Calculated density   5.6 g cm⁻³
# Energy relative to the lowest polymorph listed for this composition   7.54 eV per formula unit
data_YCo3Ge
_cell_length_a 4.6590
_cell_length_b 4.6590
_cell_length_c 4.6590
_cell_angle_alpha 90.00
_cell_angle_beta 90.00
_cell_angle_gamma 90.00
_symmetry_space_group_name_H-M 'P m -3 m'
_symmetry_Int_Tables_number 221
_symmetry_space_group_name_Hall '-P 4 2 3'
loop_
_atom_site_label
_atom_site_type_symbol
_atom_site_fract_x
_atom_site_fract_y
_atom_site_fract_z
Y1 Y 0.0000 0.0000 0.0000
Co1 Co 0.0000 0.0000 0.5000
Ge1 Ge 0.5000 0.5000 0.5000



# 11
# Li3SmSn (PBE, relaxed)
# DFT formation energy   -0.311 eV/atom
# E   -3.204 eV/atom
# M_tot   0.00 μB per atom
# Calculated density   4.5 g cm⁻³
data_Li3SmSn
_cell_length_a 7.4920
_cell_length_b 7.5431
_cell_length_c 10.6217
_cell_angle_alpha 90.00
_cell_angle_beta 134.74
_cell_angle_gamma 90.00
_symmetry_space_group_name_H-M 'P 1 21/c 1'
_symmetry_Int_Tables_number 14
loop_
_symmetry_equiv_pos_as_xyz
'x,y,z'
'-x,-y,-z'
'-x,y+1/2,-z+1/2'
'x,-y+1/2,z+1/2'
loop_
_atom_site_label
_atom_site_type_symbol
_atom_site_fract_x
_atom_site_fract_y
_atom_site_fract_z
Li1 Li 0.0509 0.1186 0.3828
Li2 Li 0.2859 0.6194 0.1207
Li3 Li 0.3704 0.6291 0.8709
Sm1 Sm 0.2500 0.5009 0.4995
Sn1 Sn 0.2334 0.2330 0.7332



# 12
# KIn2Cu (PBE, relaxed)
# DFT formation energy   0.085 eV/atom
# E   -2.582 eV/atom
# M_tot   0.00 μB per atom
# Calculated density   4.9 g cm⁻³
data_KIn2Cu
_cell_length_a 3.3804
_cell_length_b 4.0304
_cell_length_c 8.2174
_cell_angle_alpha 90.00
_cell_angle_beta 90.00
_cell_angle_gamma 90.00
_symmetry_space_group_name_H-M 'P m m 2'
_symmetry_Int_Tables_number 25
loop_
_symmetry_equiv_pos_as_xyz
'x,y,z'
'-x,-y,z'
'-x,y,z'
'x,-y,z'
loop_
_atom_site_label
_atom_site_type_symbol
_atom_site_fract_x
_atom_site_fract_y
_atom_site_fract_z
K1 K 0.0000 0.0000 0.0000
In1 In 0.0000 0.0000 0.4255
In2 In 0.5000 0.5000 0.6773
Cu1 Cu 0.5000 0.5000 0.3348